# PuMg2Ga2 (PBE, relaxed)
# E_form ... -159 meV/atom
data_PuMg2Ga2
_cell_length_a 8.3135
_cell_length_b 8.3135
_cell_length_c 2.9461
_cell_angle_alpha 90.00
_cell_angle_beta 90.00
_cell_angle_gamma 90.00
_symmetry_space_group_name_H-M 'P 4/m b m'
_symmetry_Int_Tables_number 127
_symmetry_space_group_name_Hall '-P 4 2ab'
loop_
_atom_site_label
_atom_site_fract_x
_atom_site_fract_y
_atom_site_fract_z
_atom_site_occupancy
Pu1 0.0000 0.0000 0.0000 1
Mg1 0.1250 0.3750 0.0000 1
Ga1 0.1720 0.6720 0.5000 1

# Pu2Mg3Ga4 (PBE, relaxed)
# E_form ... -189 meV/atom
data_Pu2Mg3Ga4
_cell_length_a 5.9546
_cell_length_b 16.8873
_cell_length_c 7.6458
_cell_angle_alpha 90.00
_cell_angle_beta 90.00
_cell_angle_gamma 90.00
_symmetry_space_group_name_H-M 'C m c e'
_symmetry_Int_Tables_number 64
_symmetry_space_group_name_Hall '-C 2ac 2'
loop_
_atom_site_label
_atom_site_fract_x
_atom_site_fract_y
_atom_site_fract_z
_atom_site_occupancy
Pu1 0.0000 0.0880 0.1081 1
Mg1 0.0000 0.0000 0.5000 1
Mg2 0.2500 0.2400 0.7500 1
Ga1 0.0000 0.1613 0.4827 1
Ga2 0.2500 0.0741 0.7500 1

# PuMg4Ga2 (PBE, relaxed)
# E_form ... -136 meV/atom
data_PuMg4Ga2
_cell_length_a 4.3595
_cell_length_b 16.4022
_cell_length_c 4.3353
_cell_angle_alpha 90.00
_cell_angle_beta 90.00
_cell_angle_gamma 90.00
_symmetry_space_group_name_H-M 'C m m m'
_symmetry_Int_Tables_number 65
_symmetry_space_group_name_Hall '-C 2 2'
loop_
_atom_site_label
_atom_site_fract_x
_atom_site_fract_y
_atom_site_fract_z
_atom_site_occupancy
Pu1 0.0000 0.0000 0.0000 1
Mg1 0.0000 0.1768 0.5000 1
Mg2 0.0000 0.3213 0.0000 1
Ga1 0.0000 0.4255 0.5000 1

# PuMgGa (PBE, relaxed)
# E_form ... -185 meV/atom
data_PuMgGa
_cell_length_a 4.9370
_cell_length_b 6.0211
_cell_length_c 8.6412
_cell_angle_alpha 90.00
_cell_angle_beta 90.00
_cell_angle_gamma 90.00
_symmetry_space_group_name_H-M 'I m m m'
_symmetry_Int_Tables_number 71
_symmetry_space_group_name_Hall '-I 2 2'
loop_
_atom_site_label
_atom_site_fract_x
_atom_site_fract_y
_atom_site_fract_z
_atom_site_occupancy
Pu1 0.0000 0.2505 0.0000 1
Mg1 0.0000 0.0000 0.3255 1
Ga1 0.0000 0.5000 0.3409 1

# Pu2MgGa3 (PBE, relaxed)
# E_form ... -266 meV/atom
data_Pu2MgGa3
_cell_length_a 3.2669
_cell_length_b 3.2669
_cell_length_c 11.7882
_cell_angle_alpha 90.00
_cell_angle_beta 90.00
_cell_angle_gamma 90.00
_symmetry_space_group_name_H-M 'P 4/m m m'
_symmetry_Int_Tables_number 123
_symmetry_space_group_name_Hall '-P 4 2'
loop_
_atom_site_label
_atom_site_fract_x
_atom_site_fract_y
_atom_site_fract_z
_atom_site_occupancy
Pu1 0.0000 0.0000 0.1794 1
Mg1 0.0000 0.0000 0.5000 1
Ga1 0.5000 0.5000 0.0000 1
Ga2 0.5000 0.5000 0.3558 1

# PuMgGa6 (PBE, relaxed)
# E_form ... -210 meV/atom
data_PuMgGa6
_cell_length_a 4.5652
_cell_length_b 6.4900
_cell_length_c 10.3020
_cell_angle_alpha 90.00
_cell_angle_beta 90.00
_cell_angle_gamma 90.00
_symmetry_space_group_name_H-M 'A m m 2'
_symmetry_Int_Tables_number 38
_symmetry_space_group_name_Hall 'A 2 -2'
loop_
_atom_site_label
_atom_site_fract_x
_atom_site_fract_y
_atom_site_fract_z
_atom_site_occupancy
Pu1 0.0000 0.0000 0.0000 1
Mg1 0.5000 0.0000 0.7166 1
Ga1 0.0000 0.0000 0.5260 1
Ga2 0.0000 0.2332 0.2590 1
Ga3 0.5000 0.0000 0.1901 1
Ga4 0.5000 0.2090 0.4371 1